[1]
# PuNpS2O

A relaxed PuNpS2O crystal (PBE-GGA, Alexandria via LeMat-Bulk).

It has space group P4/nmm (No. 129, origin choice 2), with a = 3.862 Å, b = 3.862 Å, c = 13.547 Å, α = 90.00°, β = 90.00° and γ = 90.00°. The asymmetric unit holds Pu at (0.250, 0.250, 0.093), Np at (0.250, 0.250, 0.613), S at (0.250, 0.250, 0.405), S at (0.250, 0.250, 0.807) and O at (0.250, 0.750, 0.000).

As for the uncorrected energy: -101.090 eV per cell.

=====

[2]
# NdDyPS

A relaxed NdDyPS crystal (PBE-GGA, Alexandria via LeMat-Bulk).

It has space group R3m (No. 160, hexagonal axes), with a = 4.0344 Å, b = 4.0344 Å, c = 19.9218 Å, α = 90.00°, β = 90.00° and γ = 120.00°. The asymmetric unit holds Nd at (0.0000, 0.0000, 0.0000), Dy at (0.0000, 0.0000, 0.4943), P at (0.0000, 0.0000, 0.7510) and S at (0.0000, 0.0000, 0.2432).

As for the uncorrected energy: -78.975 eV per cell.

=====

[3]
# ZrAl2Ni5

A relaxed ZrAl2Ni5 crystal (PBE-GGA, Alexandria via LeMat-Bulk).

It has space group Immm (No. 71), with a = 3.392 Å, b = 6.616 Å, c = 9.604 Å, α = 90.00°, β = 90.00° and γ = 90.00°. The asymmetric unit holds Zr at (0.000, 0.000, 0.000), Al at (0.000, 0.500, 0.247), Ni at (0.000, 0.198, 0.370) and Ni at (0.000, 0.500, 0.000).

As for the relative energy among the computed polymorphs: 174 meV/atom. The calculation puts the formation energy at -35 kJ/mol of atoms.

=====

[4]
# TiCd5Pd6

A relaxed TiCd5Pd6 crystal (PBE-GGA, Alexandria via LeMat-Bulk).

It has space group Cmmm (No. 65), with a = 4.597 Å, b = 13.946 Å, c = 6.465 Å, α = 90.00°, β = 90.00° and γ = 90.00°. The asymmetric unit holds Ti at (0.000, 0.000, 0.000), Cd at (0.000, 0.000, 0.500), Cd at (0.000, 0.329, 0.000), Cd at (0.000, 0.332, 0.500), Pd at (0.000, 0.157, 0.244) and Pd at (0.000, 0.500, 0.234).

The calculation puts the formation energy at -40 kJ/mol of atoms.

=====

[5]
# Ca3In2Ge3O12

A relaxed Ca3In2Ge3O12 crystal (PBE-GGA, Alexandria via LeMat-Bulk).

It has space group Ia-3d (No. 230), with a = 12.758 Å, b = 12.758 Å, c = 12.758 Å, α = 90.00°, β = 90.00° and γ = 90.00°. The asymmetric unit holds Ca at (0.000, 0.250, 0.125), In at (0.000, 0.000, 0.000), Ge at (0.000, 0.250, 0.375) and O at (0.034, 0.055, 0.658).

As for the uncorrected energy: -1027.067 eV per cell.

=====

[6]
# Ti2Ga2Br

A relaxed Ti2Ga2Br crystal (PBE-GGA, Alexandria via LeMat-Bulk).

It has space group P4/mbm (No. 127), with a = 7.007 Å, b = 7.007 Å, c = 3.714 Å, α = 90.00°, β = 90.00° and γ = 90.00°. The asymmetric unit holds Ti at (0.175, 0.325, 0.000), Ga at (0.125, 0.625, 0.500) and Br at (0.000, 0.000, 0.000).

As for the relative energy among the computed polymorphs: 0 meV/atom.

=====

[7]
# Mg2GeBSe

A relaxed Mg2GeBSe crystal (PBE-GGA, Alexandria via LeMat-Bulk).

It has space group P4/mmm (No. 123), with a = 5.178 Å, b = 5.178 Å, c = 3.844 Å, α = 90.00°, β = 90.00° and γ = 90.00°. The asymmetric unit holds Mg at (0.000, 0.500, 0.000), Ge at (0.000, 0.000, 0.000), B at (0.000, 0.000, 0.500) and Se at (0.500, 0.500, 0.500).

As for the uncorrected energy: -16.344 eV per cell.

=====

[8]
# GdLu2In

A relaxed GdLu2In crystal (PBE-GGA, Alexandria via LeMat-Bulk).

It has space group Fm-3m (No. 225), with a = 7.601 Å, b = 7.601 Å, c = 7.601 Å, α = 90.00°, β = 90.00° and γ = 90.00°. The asymmetric unit holds Gd at (0.000, 0.000, 0.000), Lu at (0.250, 0.250, 0.250) and In at (0.000, 0.000, 0.500).

As for the relative energy among the computed polymorphs: 162 meV/atom. The calculation puts the formation energy at -10 kJ/mol of atoms.